An optimized crystal structure of Ce4NbN4. Source: the Alexandria database, functional GGA-PBE.

Properties
**Symmetry**: C2/m
**E_form (uncorrected)**: -1.21 eV/atom
**Magnetic moment**: 0.001 μB/f.u.
**Total energy**: -8.6683 eV/atom

Lattice parameters (Å, degrees): 3.407 5.979 7.695 76.29 77.21 73.45
Sites, in units of the cell vectors:
N1 0.687 0.902 0.723
N2 0.313 0.098 0.277
N3 0.088 0.736 0.087
N4 0.912 0.264 0.913
Ce1 0.299 0.592 0.810
Ce2 0.103 0.186 0.608
Ce3 0.701 0.408 0.190
Ce4 0.897 0.814 0.392
Nb1 0.500 0.000 0.000


An optimized crystal structure of Ce3Nb5N12. Source: the Alexandria database, functional GGA-PBE.

Properties
**Symmetry**: Ia-3d
**E_form (uncorrected)**: -1.07 eV/atom
**Magnetic moment**: 1.187 μB/f.u.
**Total energy**: -9.4716 eV/atom

Lattice parameters (Å, degrees): 11.313 11.313 11.313 109.47 109.47 109.47
Each line ends with the local moment (μB).
Sites, in units of the cell vectors:
Nb1 0.625 0.875 0.250  0.02
Nb2 0.125 0.375 0.250  0.02
Nb3 0.000 0.500 0.000  0.05
Nb4 0.000 0.000 0.000  0.05
Nb5 0.250 0.375 0.625  0.02
Nb6 0.500 0.000 0.000  0.05
Nb7 0.375 0.250 0.125  0.02
Nb8 0.625 0.750 0.875  0.02
Nb9 0.875 0.625 0.750  0.02
Nb10 0.500 0.500 0.500  0.05
Nb11 0.250 0.875 0.125  0.02
Nb12 0.125 0.750 0.375  0.02
Nb13 0.750 0.625 0.375  0.02
Nb14 0.875 0.250 0.625  0.02
Nb15 0.750 0.125 0.875  0.02
Nb16 0.375 0.125 0.750  0.02
Nb17 0.500 0.500 0.000  0.05
Nb18 0.500 0.000 0.500  0.05
Nb19 0.000 0.500 0.500  0.05
Nb20 0.000 0.000 0.500  0.05
N1 0.473 0.795 0.876  -0.01
N2 0.419 0.124 0.597  -0.01
N3 0.178 0.097 0.973  -0.01
N4 0.403 0.376 0.581  -0.01
N5 0.205 0.678 0.081  -0.01
N6 0.705 0.581 0.178  -0.01
N7 0.295 0.419 0.822  -0.01
N8 0.919 0.822 0.795  -0.01
N9 0.822 0.903 0.027  -0.01
N10 0.678 0.205 0.581  -0.01
N11 0.081 0.903 0.376  -0.01
N12 0.027 0.403 0.822  -0.01
N13 0.403 0.027 0.322  -0.01
N14 0.597 0.624 0.419  -0.01
N15 0.124 0.705 0.527  -0.01
N16 0.124 0.419 0.097  -0.01
N17 0.097 0.919 0.124  -0.01
N18 0.919 0.097 0.624  -0.01
N19 0.527 0.205 0.124  -0.01
N20 0.876 0.581 0.903  -0.01
N21 0.795 0.322 0.919  -0.01
N22 0.376 0.973 0.795  -0.01
N23 0.527 0.322 0.903  -0.01
N24 0.419 0.295 0.322  -0.01
N25 0.322 0.795 0.419  -0.01
N26 0.581 0.876 0.403  -0.01
N27 0.473 0.678 0.097  -0.01
N28 0.597 0.973 0.678  -0.01
N29 0.822 0.919 0.295  -0.01
N30 0.581 0.705 0.678  -0.01
N31 0.322 0.527 0.403  -0.01
N32 0.027 0.624 0.705  -0.01
N33 0.624 0.597 0.919  -0.01
N34 0.705 0.124 0.027  -0.01
N35 0.081 0.178 0.205  -0.01
N36 0.097 0.178 0.473  -0.01
N37 0.973 0.597 0.178  -0.01
N38 0.795 0.473 0.376  -0.01
N39 0.205 0.527 0.624  -0.01
N40 0.678 0.473 0.597  -0.01
N41 0.376 0.403 0.081  -0.01
N42 0.178 0.081 0.705  -0.01
N43 0.624 0.027 0.205  -0.01
N44 0.903 0.822 0.527  -0.01
N45 0.876 0.295 0.473  -0.01
N46 0.903 0.081 0.876  -0.01
N47 0.295 0.876 0.973  -0.01
N48 0.973 0.376 0.295  -0.01
Ce1 0.375 0.625 0.250  0.36
Ce2 0.750 0.875 0.625  0.36
Ce3 0.125 0.250 0.875  0.36
Ce4 0.875 0.125 0.250  0.36
Ce5 0.375 0.750 0.625  0.36
Ce6 0.250 0.625 0.875  0.36
Ce7 0.250 0.125 0.375  0.36
Ce8 0.625 0.250 0.375  0.36
Ce9 0.625 0.375 0.750  0.36
Ce10 0.750 0.375 0.125  0.36
Ce11 0.125 0.875 0.750  0.36
Ce12 0.875 0.750 0.125  0.36


An optimized crystal structure of Ce3NbN6. Source: the Alexandria database, functional GGA-PBE.

Properties
**Symmetry**: Cmc2_1
**E_form (uncorrected)**: -1.14 eV/atom
**Magnetic moment**: 0.723 μB/f.u.
**Total energy**: -8.9235 eV/atom

Lattice parameters (Å, degrees): 5.660 7.309 7.309 99.75 90.00 90.00
Each line ends with the local moment (μB).
Sites, in units of the cell vectors:
N1 0.711 0.343 0.351  0.02
N2 0.711 0.649 0.657  0.02
N3 0.211 0.351 0.343  0.02
N4 0.647 0.916 0.391  0.02
N5 0.150 0.787 0.213  0.18
N6 0.147 0.084 0.609  0.02
N7 0.650 0.213 0.787  0.18
N8 0.750 0.986 0.014  0.22
N9 0.250 0.014 0.986  0.22
N10 0.147 0.391 0.916  0.02
N11 0.211 0.657 0.649  0.02
N12 0.647 0.609 0.084  0.02
Ce1 0.470 0.903 0.678  0.02
Ce2 0.470 0.322 0.097  0.02
Ce3 0.970 0.097 0.322  0.02
Ce4 0.436 0.394 0.606  0.05
Ce5 0.936 0.606 0.394  0.05
Ce6 0.970 0.678 0.903  0.02
Nb1 0.495 0.846 0.154  -0.02
Nb2 0.995 0.154 0.846  -0.02


An optimized crystal structure of Ce2NbN4. Source: the Alexandria database, functional GGA-PBE.

Properties
**Symmetry**: Fd-3m
**E_form (uncorrected)**: -1.09 eV/atom
**Polymorph energy (0 for the lowest one)**: 0.0000 eV per atom
**Magnetic moment**: 1.031 μB/f.u.
**Total energy**: -8.9807 eV/atom

Lattice parameters (Å, degrees): 6.772 6.772 6.773 59.99 59.99 89.99
Each line ends with the local moment (μB).
Sites, in units of the cell vectors:
N1 0.239 0.746 0.508  -0.02
N2 0.246 0.739 0.008  -0.02
N3 0.246 0.254 0.008  -0.02
N4 0.754 0.261 0.992  -0.02
N5 0.761 0.254 0.492  -0.02
N6 0.754 0.746 0.508  -0.02
N7 0.246 0.254 0.492  -0.02
N8 0.754 0.746 0.992  -0.02
Ce1 0.500 0.000 0.500  0.42
Ce2 0.500 0.000 0.000  0.42
Ce3 0.000 0.000 0.000  0.42
Ce4 0.500 0.500 0.500  0.42
Nb1 0.125 0.375 0.250  0.07
Nb2 0.875 0.625 0.750  0.07


An optimized crystal structure of CeNb2N. Source: the Alexandria database, functional GGA-PBE.

Properties
**Symmetry**: R-3m
**E_form (uncorrected)**: -0.23 eV/atom
**Magnetic moment**: 0.000 μB/f.u.
**Total energy**: -8.8251 eV/atom

Lattice parameters (Å, degrees): 3.163 3.163 8.323 79.05 79.05 60.00
Sites, in units of the cell vectors:
Nb1 0.119 0.119 0.644
Nb2 0.881 0.881 0.356
N1 0.500 0.500 0.500
Ce1 0.000 0.000 0.000


An optimized crystal structure of Ce3NbN3. Source: the Alexandria database, functional GGA-PBE.

Properties
**Symmetry**: Cmcm
**E_form (uncorrected)**: -1.23 eV/atom
**Magnetic moment**: 0.000 μB/f.u.
**Total energy**: -8.7831 eV/atom

Lattice parameters (Å, degrees): 5.120 6.786 6.786 95.79 90.00 90.00
Sites, in units of the cell vectors:
Ce1 0.250 0.601 0.846
Ce2 0.750 0.846 0.601
Ce3 0.750 0.399 0.154
Ce4 0.250 0.116 0.884
Ce5 0.250 0.154 0.399
Ce6 0.750 0.884 0.116
N1 0.250 0.398 0.147
N2 0.750 0.602 0.853
N3 0.250 0.876 0.124
N4 0.750 0.124 0.876
N5 0.250 0.853 0.602
N6 0.750 0.147 0.398
Nb1 0.750 0.329 0.671
Nb2 0.250 0.671 0.329


An optimized crystal structure of CeNd2NbN4. Source: the Alexandria database, functional GGA-PBE.

Properties
**Symmetry**: Cmcm
**E_form (uncorrected)**: -1.09 eV/atom
**Magnetic moment**: 0.744 μB/f.u.
**Total energy**: -8.4493 eV/atom

Lattice parameters (Å, degrees): 3.476 6.332 12.574 90.00 90.00 105.93
Each line ends with the local moment (μB).
Sites, in units of the cell vectors:
N1 0.733 0.465 0.869  -0.01
N2 0.267 0.535 0.131  -0.01
N3 0.445 0.890 0.750  -0.01
N4 0.733 0.465 0.631  -0.01
N5 0.555 0.110 0.250  -0.01
N6 0.000 0.000 0.500  0.00
N7 0.267 0.535 0.369  -0.01
N8 0.000 0.000 0.000  0.00
Nb1 0.163 0.327 0.250  0.03
Nb2 0.837 0.673 0.750  0.03
Nd1 0.369 0.739 0.536  0.01
Nd2 0.631 0.261 0.036  0.01
Nd3 0.369 0.739 0.964  0.01
Nd4 0.631 0.261 0.464  0.01
Ce1 0.900 0.800 0.250  0.63
Ce2 0.100 0.200 0.750  0.63


An optimized crystal structure of Ce2NdNbN5. Source: the Alexandria database, functional GGA-PBE.

Properties
**Symmetry**: Cmc2_1
**E_form (uncorrected)**: -1.21 eV/atom
**Magnetic moment**: 1.097 μB/f.u.
**Total energy**: -8.8016 eV/atom

Lattice parameters (Å, degrees): 3.547 7.491 10.332 90.00 90.00 103.69
Each line ends with the local moment (μB).
Sites, in units of the cell vectors:
Nb1 0.475 0.950 0.465  0.09
Nb2 0.525 0.050 0.965  0.09
Ce1 0.107 0.214 0.688  0.52
Ce2 0.893 0.786 0.188  0.52
Ce3 0.131 0.263 0.273  0.41
Ce4 0.869 0.737 0.773  0.41
N1 0.657 0.313 0.867  -0.02
N2 0.343 0.687 0.367  -0.02
N3 0.949 0.897 0.554  -0.01
N4 0.718 0.435 0.182  -0.03
N5 0.613 0.227 0.525  -0.03
N6 0.482 0.964 0.782  -0.02
N7 0.282 0.565 0.682  -0.03
N8 0.387 0.773 0.025  -0.03
N9 0.518 0.036 0.282  -0.02
N10 0.051 0.103 0.054  -0.01
Nd1 0.779 0.557 0.489  0.03
Nd2 0.221 0.443 0.989  0.03


An optimized crystal structure of CeNdNbN4. Source: the Alexandria database, functional GGA-PBE.

Properties
**Symmetry**: Cmcm
**E_form (uncorrected)**: -1.16 eV/atom
**Magnetic moment**: 0.000 μB/f.u.
**Total energy**: -8.8859 eV/atom

Lattice parameters (Å, degrees): 5.725 5.752 6.860 90.00 114.66 90.00
Sites, in units of the cell vectors:
N1 0.000 0.500 0.500
N2 0.935 0.250 0.871
N3 0.500 0.500 0.500
N4 0.500 0.000 0.500
N5 0.577 0.250 0.153
N6 0.000 0.000 0.500
N7 0.423 0.750 0.847
N8 0.065 0.750 0.129
Ce1 0.898 0.750 0.795
Ce2 0.102 0.250 0.205
Nb1 0.266 0.750 0.532
Nb2 0.734 0.250 0.468
Nd1 0.388 0.250 0.776
Nd2 0.612 0.750 0.224


An optimized crystal structure of CeNb2NiN4. Source: the Alexandria database, functional GGA-PBE.

Properties
**Symmetry**: Cmcm
**E_form (uncorrected)**: -0.97 eV/atom
**Magnetic moment**: 0.251 μB/f.u.
**Total energy**: -9.1098 eV/atom

Lattice parameters (Å, degrees): 3.260 5.549 10.769 90.00 90.00 107.08
Each line ends with the local moment (μB).
Sites, in units of the cell vectors:
Nb1 0.627 0.253 0.448  0.01
Nb2 0.373 0.747 0.948  0.01
Nb3 0.627 0.253 0.052  0.01
Nb4 0.373 0.747 0.552  0.01
N1 0.000 0.000 0.000  0.00
N2 0.273 0.547 0.112  0.00
N3 0.000 0.000 0.500  0.00
N4 0.727 0.453 0.888  0.00
N5 0.552 0.104 0.250  0.00
N6 0.727 0.453 0.612  0.00
N7 0.448 0.896 0.750  0.00
N8 0.273 0.547 0.388  0.00
Ni1 0.841 0.682 0.750  -0.01
Ni2 0.159 0.318 0.250  -0.01
Ce1 0.108 0.217 0.750  0.21
Ce2 0.892 0.783 0.250  0.21


An optimized crystal structure of CeNbNiN3. Source: the Alexandria database, functional GGA-PBE.

Properties
**Symmetry**: P2_1/m
**E_form (uncorrected)**: -0.88 eV/atom
**Magnetic moment**: 0.000 μB/f.u.
**Total energy**: -8.6725 eV/atom

Lattice parameters (Å, degrees): 3.217 6.706 7.116 104.60 90.00 90.00
Sites, in units of the cell vectors:
N1 0.250 0.115 0.871
N2 0.750 0.885 0.129
N3 0.250 0.771 0.487
N4 0.250 0.563 0.850
N5 0.750 0.229 0.513
N6 0.750 0.437 0.150
Ni1 0.250 0.113 0.592
Ni2 0.750 0.887 0.408
Nb1 0.250 0.671 0.163
Nb2 0.750 0.329 0.837
Ce1 0.250 0.195 0.222
Ce2 0.750 0.805 0.778


An optimized crystal structure of Ce2NpNbN4. Source: the Alexandria database, functional GGA-PBE.

Properties
**Symmetry**: P2/m
**E_form (uncorrected)**: -1.33 eV/atom
**Magnetic moment**: 2.772 μB/f.u.
**Total energy**: -9.8559 eV/atom

Lattice parameters (Å, degrees): 3.391 5.821 5.971 108.64 90.00 90.00
Each line ends with the local moment (μB).
Sites, in units of the cell vectors:
N1 0.500 0.232 0.217  -0.04
N2 0.500 0.768 0.783  -0.04
N3 0.000 0.750 0.220  -0.07
N4 0.000 0.250 0.780  -0.07
Nb1 0.000 0.000 0.000  0.01
Ce1 0.000 0.500 0.500  0.14
Ce2 0.500 0.000 0.500  0.09
Np1 0.500 0.500 0.000  2.57


| no. | Fermi-level density of states (states/eV per cell) |
| --- | --- |
| 1 | 9.86 |
| 2 | 39.34 |
| 3 | 7.91 |
| 4 | 3.04 |
| 5 | 5.90 |
| 6 | 17.92 |
| 7 | 13.77 |
| 8 | 13.46 |
| 9 | 2.89 |
| 10 | 8.56 |
| 11 | 2.47 |
| 12 | 9.43 |